Entry 1:
# Y2Cu2Ni3

An optimized crystal structure of Y2Cu2Ni3 (PBE, Alexandria).

Structure (POSCAR):
```
Y2Cu2Ni3
1.0
4.3169 0.0000 1.3190
1.9898 6.2122 1.2114
0.9843 -0.5273 4.5023
Ni Y Cu
3 2 2
Direct
0.8362 0.6823 0.6454
0.1638 0.3177 0.3546
0.0000 0.0000 0.0000
0.4299 0.8133 0.3269
0.5701 0.1867 0.6731
0.2007 0.6130 0.9856
0.7993 0.3870 0.0144
```

## Properties
ΔE_f: -0.210 eV per atom
N(E_F): 3.86 states/eV/cell

Entry 2:
# Ti2ReAs

An optimized crystal structure of Ti2ReAs (PBE, Alexandria).

Structure (POSCAR):
```
Ti2ReAs
1.0
-3.6149 -5.0470 -3.2033
4.8765 -0.3246 -4.9915
1.9912 -4.5821 -2.6450
Ti Re As
4 2 2
Direct
0.6281 0.1250 0.2500
0.8750 0.8781 0.7500
0.1219 0.6250 0.2500
0.3750 0.3719 0.7500
0.0000 0.0000 0.0000
0.7500 0.2500 0.5000
0.5000 0.5000 0.0000
0.2500 0.7500 0.5000
```

## Properties
ΔE_f: 0.143 eV per atom
N(E_F): 8.83 states/eV/cell

Entry 3:
# CdPRh2

An optimized crystal structure of CdPRh2 (PBE, Alexandria).

Structure (POSCAR):
```
CdPRh2
1.0
-2.0841 -4.5471 0.9909
1.0634 -2.1034 4.5217
-1.6138 4.5298 -1.6964
Cd P Rh
1 1 2
Direct
0.5000 0.5000 0.0000
0.7500 0.2500 0.5000
0.2500 0.7500 0.5000
0.0000 0.0000 0.0000
```

## Properties
ΔE_f: 0.115 eV per atom
N(E_F): 4.41 states/eV/cell